Material: PuTlCd2
Method: DFT, PBE-GGA
State: relaxed

Cell and atoms, written as POSCAR:
```
PuTlCd2
1.0
3.306 0.000 0.000
1.653 2.863 0.000
1.653 0.954 10.981
Pu Tl Cd
1 1 2
Direct
0.500 0.500 0.500
0.667 0.667 0.000
0.083 0.083 0.751
0.250 0.250 0.250
```

- offset from the most stable computed form (eV per atom) = 0.062
- symmetry = R3m

Material: Pu2TlCd3
Method: DFT, PBE-GGA
State: relaxed

Cell and atoms, written as POSCAR:
```
Pu2TlCd3
1.0
-3.707 -4.432 -1.618
5.919 -0.964 0.207
-0.779 -2.766 9.363
Pu Tl Cd
4 2 6
Direct
0.667 0.333 0.437
0.333 0.667 0.563
0.333 0.667 0.937
0.667 0.333 0.063
0.000 0.000 0.500
0.000 0.000 0.000
0.173 0.346 0.250
0.346 0.173 0.750
0.827 0.654 0.750
0.173 0.827 0.250
0.827 0.173 0.750
0.654 0.827 0.250
```

- symmetry = P6_3/mmc

Material: Pu2Tl3Cd2
Method: DFT, PBE-GGA
State: relaxed

Cell and atoms, written as POSCAR:
```
Pu2Tl3Cd2
1.0
-5.596 -5.528 -2.196
3.317 3.319 -6.684
5.830 -3.635 4.415
Pu Tl Cd
4 6 4
Direct
0.000 0.000 0.489
0.500 0.489 0.500
0.511 0.011 0.011
0.989 0.500 0.000
0.741 0.750 0.991
0.759 0.250 0.509
0.009 0.259 0.250
0.491 0.241 0.750
0.250 0.991 0.241
0.750 0.509 0.259
0.000 0.000 0.866
0.500 0.866 0.500
0.134 0.634 0.634
0.366 0.500 0.000
```

- symmetry = I2_13

Material: PuTlCd2
Method: DFT, PBE-GGA
State: relaxed

Cell and atoms, written as POSCAR:
```
PuTlCd2
1.0
-2.422 1.232 2.703
2.450 -1.129 2.710
3.162 6.524 -0.140
Pu Tl Cd
1 1 2
Direct
0.500 0.500 0.250
0.500 0.500 0.750
0.000 0.000 0.995
0.000 0.000 0.505
```

- offset from the most stable computed form (eV per atom) = 0.037
- symmetry = P4/mmm

Material: PuTlCd2
Method: DFT, PBE-GGA
State: relaxed

Cell and atoms, written as POSCAR:
```
PuTlCd2
1.0
5.257 0.000 0.000
2.628 4.552 0.000
2.628 1.517 4.292
Tl Cd Pu
1 2 1
Direct
0.000 0.000 0.000
0.250 0.250 0.250
0.750 0.750 0.750
0.500 0.500 0.500
```

- offset from the most stable computed form (eV per atom) = 0.035
- symmetry = Fm-3m

Material: Pu3Tl2Cd
Method: DFT, PBE-GGA
State: relaxed

Cell and atoms, written as POSCAR:
```
Pu3Tl2Cd
1.0
-0.365 1.064 -3.043
-0.642 -3.025 -0.981
-14.453 2.252 2.519
Pu Tl Cd
3 2 1
Direct
0.000 0.000 0.000
0.000 0.000 0.665
0.000 0.000 0.335
0.500 0.500 0.832
0.500 0.500 0.168
0.500 0.500 0.500
```

- symmetry = P4/mmm

Material: PuTlCd2
Method: DFT, PBE-GGA
State: relaxed

Cell and atoms, written as POSCAR:
```
PuTlCd2
1.0
4.920 0.000 0.000
0.000 4.618 0.000
0.000 0.000 4.618
Tl Cd Pu
1 2 1
Direct
0.500 0.000 0.000
0.000 0.000 0.500
0.000 0.500 0.000
0.500 0.500 0.500
```

- offset from the most stable computed form (eV per atom) = 0.000
- symmetry = P4/mmm

Material: Pu2TlCd2
Method: DFT, PBE-GGA
State: relaxed

Cell and atoms, written as POSCAR:
```
Pu2TlCd2
1.0
3.122 0.000 0.000
0.000 5.094 -0.088
0.000 -2.410 7.930
Pu Tl Cd
2 1 2
Direct
0.500 0.393 0.785
0.500 0.607 0.215
0.000 0.000 0.000
0.000 0.797 0.594
0.000 0.203 0.406
```

- symmetry = Cmmm

Material: TmPuTlCd
Method: DFT, PBE-GGA
State: relaxed

Cell and atoms, written as POSCAR:
```
TmPuTlCd
1.0
-3.338 -3.949 1.311
-1.761 -3.360 -3.750
1.696 -5.057 -0.060
Cd Tl Tm Pu
1 1 1 1
Direct
0.750 0.750 0.750
0.250 0.250 0.250
0.000 0.000 0.000
0.500 0.500 0.500
```

- symmetry = F-43m

Material: PuZrTlCd
Method: DFT, PBE-GGA
State: relaxed

Cell and atoms, written as POSCAR:
```
PuZrTlCd
1.0
-1.727 -3.685 3.266
1.757 -4.895 -0.425
3.182 -1.956 3.644
Tl Cd Zr Pu
1 1 1 1
Direct
0.750 0.750 0.750
0.250 0.250 0.250
0.000 0.000 0.000
0.500 0.500 0.500
```

- symmetry = F-43m

Material: TmPu2Cd6
Method: DFT, PBE-GGA
State: relaxed

Cell and atoms, written as POSCAR:
```
TmPu2Cd6
1.0
6.010 0.082 -0.464
-0.537 5.974 -0.604
0.053 0.203 6.025
Tm Pu Cd
1 2 6
Direct
0.000 0.000 0.000
0.657 0.657 0.657
0.343 0.343 0.343
0.164 0.500 0.836
0.836 0.164 0.500
0.836 0.500 0.164
0.500 0.164 0.836
0.164 0.836 0.500
0.500 0.836 0.164
```

- symmetry = R-3m

Material: TmPuCd14
Method: DFT, PBE-GGA
State: relaxed

Cell and atoms, written as POSCAR:
```
TmPuCd14
1.0
-4.286 -4.536 -2.267
-1.448 -1.749 6.239
-6.180 5.750 0.177
Tm Pu Cd
1 1 14
Direct
0.375 0.375 0.500
0.875 0.875 0.500
0.875 0.875 0.000
0.375 0.375 0.000
0.875 0.375 0.500
0.875 0.375 0.000
0.375 0.875 0.500
0.375 0.875 0.000
0.623 0.127 0.241
0.623 0.127 0.759
0.127 0.623 0.241
0.127 0.623 0.759
0.623 0.623 0.241
0.623 0.623 0.759
0.127 0.127 0.241
0.127 0.127 0.759
```

- symmetry = P4/mmm

| no. | energy of formation (kcal/mol of atoms) |
| --- | --- |
| 1 | 1.6 |
| 2 | -0.1 |
| 3 | 5.3 |
| 4 | 1.0 |
| 5 | 0.9 |
| 6 | -0.5 |
| 7 | 0.1 |
| 8 | -1.3 |
| 9 | -2.9 |
| 10 | 1.6 |
| 11 | -3.3 |
| 12 | -1.6 |